[1]
Material: K2MgHF3
Method: DFT, PBE
State: optimized geometry

The space group is Immm (No. 71) and the conventional cell measures 3.950, 4.055 and 13.420 Å, with angles of 90.00, 90.00 and 90.00 degrees. The asymmetric unit holds K at (0.000, 0.000, 0.149), Mg at (0.000, 0.000, 0.500), H at (0.000, 0.500, 0.000), F at (0.000, 0.000, 0.348) and F at (0.000, 0.500, 0.500).

The density of states at the Fermi level comes out at 0.0 states/eV/f.u. For the calculated total energy, the calculation gives -4.2388 eV/atom.

***

[2]
Material: PdS5Cl
Method: DFT, PBE
State: optimized geometry

The space group is P1 (No. 1) and the conventional cell measures 5.664, 5.984 and 6.824 Å, with angles of 68.10, 76.42 and 70.80 degrees. The asymmetric unit holds Pd at (0.000, 0.000, 0.000), S at (0.266, 0.012, 0.687), S at (0.437, 0.830, 0.944), S at (0.513, 0.407, 0.646), S at (0.586, 0.196, 0.953), S at (0.808, 0.379, 0.433) and Cl at (0.876, 0.892, 0.372).

The energy relative to the elements, uncorrected is 0.00 eV/atom. The density of states at the Fermi level comes out at 1.2 states/eV/f.u. For the calculated total energy, the calculation gives -3.9582 eV/atom.

***

[3]
Material: Li2Ge2Pt
Method: DFT, PBE
State: optimized geometry

The space group is P4/mbm (No. 127) and the conventional cell measures 6.299, 6.299 and 3.789 Å, with angles of 90.00, 90.00 and 90.00 degrees. The asymmetric unit holds Li at (0.135, 0.365, 0.000), Ge at (0.171, 0.671, 0.500) and Pt at (0.000, 0.000, 0.000).

The value obtained for the formation energy is -0.144 eV per atom. The density of states at the Fermi level comes out at 1.5 states/eV/f.u. For the calculated total energy, the calculation gives -3.9650 eV/atom.

***

[4]
Material: Li2TaCl
Method: DFT, PBE
State: optimized geometry

The space group is Pmmm (No. 47) and the conventional cell measures 2.912, 4.699 and 4.846 Å, with angles of 90.00, 90.00 and 90.00 degrees. The asymmetric unit holds Li at (0.000, 0.000, 0.000), Li at (0.500, 0.500, 0.000), Ta at (0.000, 0.500, 0.500) and Cl at (0.500, 0.000, 0.500).

The energy relative to the elements, uncorrected is 0.33 eV/atom. The density of states at the Fermi level comes out at 3.0 states/eV/f.u. For the calculated total energy, the calculation gives -4.0536 eV/atom.

***

[5]
Material: Y2OsAuO
Method: DFT, PBE
State: optimized geometry

The space group is P4/mmm (No. 123) and the conventional cell measures 5.513, 5.513 and 3.766 Å, with angles of 90.00, 90.00 and 90.00 degrees. The asymmetric unit holds Y at (0.000, 0.500, 0.000), Os at (0.000, 0.000, 0.000), Au at (0.500, 0.500, 0.500) and O at (0.000, 0.000, 0.500).

The energy relative to the elements, uncorrected is -0.44 eV/atom. The density of states at the Fermi level comes out at 5.7 states/eV/f.u. For the calculated total energy, the calculation gives -6.9201 eV/atom.

***

[6]
Material: NaRe2OsF
Method: DFT, PBE
State: optimized geometry

The space group is P4/mmm (No. 123) and the conventional cell measures 4.708, 4.708 and 5.996 Å, with angles of 90.00, 90.00 and 90.00 degrees. The asymmetric unit holds Na at (0.000, 0.000, 0.000), Re at (0.000, 0.500, 0.500), Os at (0.000, 0.000, 0.500) and F at (0.500, 0.500, 0.000).

The energy relative to the elements, uncorrected is 1.50 eV/atom. The density of states at the Fermi level comes out at 3.7 states/eV/f.u. For the calculated total energy, the calculation gives -6.3637 eV/atom.

***

[7]
Material: Li2Zn2Ag3
Method: DFT, PBE
State: optimized geometry

The space group is C2/m (No. 12) and the conventional cell measures 9.305, 4.266 and 5.626 Å, with angles of 90.00, 90.76 and 90.00 degrees. The asymmetric unit holds Li at (0.084, 0.000, 0.216), Zn at (0.134, 0.500, 0.929), Ag at (0.000, 0.500, 0.500) and Ag at (0.208, 0.000, 0.666).

The value obtained for the formation energy is -0.168 eV per atom. The density of states at the Fermi level comes out at 1.7 states/eV/f.u. For the calculated total energy, the calculation gives -2.3005 eV/atom.

***

[8]
Material: Tm2ScSn2
Method: DFT, PBE
State: optimized geometry

The space group is Immm (No. 71) and the conventional cell measures 4.531, 6.540 and 8.886 Å, with angles of 90.00, 90.00 and 90.00 degrees. The asymmetric unit holds Tm at (0.000, 0.000, 0.198), Sc at (0.000, 0.500, 0.000) and Sn at (0.000, 0.275, 0.500).

The value obtained for the formation energy is -0.573 eV per atom. The density of states at the Fermi level comes out at 4.4 states/eV/f.u. For the calculated total energy, the calculation gives -5.2290 eV/atom.

***

[9]
Material: Cs2MgSe2
Method: DFT, PBE
State: optimized geometry

The space group is P4/mbm (No. 127) and the conventional cell measures 7.939, 7.939 and 5.701 Å, with angles of 90.00, 90.00 and 90.00 degrees. The asymmetric unit holds Cs at (0.152, 0.348, 0.000), Mg at (0.000, 0.000, 0.500) and Se at (0.180, 0.680, 0.500).

The energy relative to the elements, uncorrected is -0.77 eV/atom. The density of states at the Fermi level comes out at 0.0 states/eV/f.u. For the calculated total energy, the calculation gives -2.8207 eV/atom.

***

[10]
Material: Pd3PtAu2
Method: DFT, PBE
State: optimized geometry

The space group is Cmmm (No. 65) and the conventional cell measures 4.082, 12.162 and 3.930 Å, with angles of 90.00, 90.00 and 90.00 degrees. The asymmetric unit holds Pd at (0.000, 0.000, 0.000), Pd at (0.000, 0.336, 0.000), Pt at (0.000, 0.500, 0.500) and Au at (0.000, 0.166, 0.500).

The value obtained for the formation energy is -0.034 eV per atom. The density of states at the Fermi level comes out at 7.8 states/eV/f.u. For the calculated total energy, the calculation gives -4.7295 eV/atom.

***

[11]
Material: Cd12Sn2Hg5
Method: DFT, PBE
State: optimized geometry

The space group is C2/m (No. 12) and the conventional cell measures 16.731, 7.085 and 8.831 Å, with angles of 90.00, 106.05 and 90.00 degrees. The asymmetric unit holds Cd at (0.024, 0.000, 0.341), Cd at (0.084, 0.500, 0.258), Cd at (0.141, 0.245, 0.598), Cd at (0.202, 0.283, 0.130), Sn at (0.000, 0.219, 0.000), Hg at (0.000, 0.500, 0.500), Hg at (0.143, 0.000, 0.883) and Hg at (0.213, 0.000, 0.388).

The value obtained for the formation energy is 0.076 eV per atom. The density of states at the Fermi level comes out at 6.0 states/eV/f.u. For the calculated total energy, the calculation gives -1.0023 eV/atom.

***

[12]
Material: Zr2TiPb
Method: DFT, PBE
State: optimized geometry

The space group is P4/mmm (No. 123) and the conventional cell measures 3.719, 3.719 and 6.334 Å, with angles of 90.00, 90.00 and 90.00 degrees. The asymmetric unit holds Zr at (0.000, 0.000, 0.241), Ti at (0.500, 0.500, 0.000) and Pb at (0.500, 0.500, 0.500).

The value obtained for the formation energy is -0.090 eV per atom. The density of states at the Fermi level comes out at 3.9 states/eV/f.u. For the calculated total energy, the calculation gives -7.2649 eV/atom.

***

Number 1: volume 107.48 Å³/f.u.. Number 2: volume 200.97 Å³/f.u.. Number 3: volume 75.17 Å³/f.u.. Number 4: volume 66.31 Å³/f.u.. Number 5: volume 114.48 Å³/f.u.. Number 6: volume 132.93 Å³/f.u.. Number 7: volume 111.65 Å³/f.u.. Number 8: volume 131.66 Å³/f.u.. Number 9: volume 179.64 Å³/f.u.. Number 10: volume 97.55 Å³/f.u.. Number 11: volume 502.98 Å³/f.u.. Number 12: volume 87.61 Å³/f.u..